Record 1
DFT (PBE) results for an optimized crystal structure of EuPuSnGe.

## Properties
Calculated total energy   -8.6664 eV per atom
Space group   F-43m (216)

Structure (POSCAR):
```
EuPuSnGe
1.0
0.0000 3.7596 3.7596
3.7596 0.0000 3.7596
3.7596 3.7596 0.0000
Eu Pu Sn Ge
1 1 1 1
Direct
0.0000 0.0000 0.0000
0.5000 0.5000 0.5000
0.2500 0.2500 0.2500
0.7500 0.7500 0.7500
```

***

Record 2
DFT (PBE) results for an optimized crystal structure of SmBRu.

## Properties
Energy relative to the lowest polymorph listed for this composition   19 meV per atom
Space group   P4/nmm (129)

Structure (POSCAR):
```
SmBRu
1.0
3.9815 0.0000 0.0000
0.0000 3.9815 0.0000
0.0000 0.0000 6.9919
Sm B Ru
2 2 2
Direct
0.2500 0.2500 0.1907
0.7500 0.7500 0.8093
0.2500 0.2500 0.6266
0.7500 0.7500 0.3734
0.2500 0.7500 0.5000
0.7500 0.2500 0.5000
```